# PmNpVO6 | Alexandria | GGA+U | relaxed
# calculated volume = 121.0 Å³/f.u.
# magnetic moment = 0.333 μB per atom
# raw total energy = -155.36 eV for the cell shown
data_PmNpVO6
_chemical_formula_sum 'Pm2 Np2 V2 O12'
_cell_length_a 5.6733
_cell_length_b 5.6733
_cell_length_c 8.6793
_cell_angle_alpha 90.00
_cell_angle_beta 90.00
_cell_angle_gamma 120.00
_symmetry_space_group_name_H-M 'P -3 1 c'
_symmetry_Int_Tables_number 163
_symmetry_space_group_name_Hall '-P 3 2c'
loop_
_atom_site_label
_atom_site_type_symbol
_atom_site_fract_x
_atom_site_fract_y
_atom_site_fract_z
Pm1 Pm 0.3333 0.6667 0.2500
Np1 Np 0.3333 0.6667 0.7500
V1 V 0.0000 0.0000 0.0000
O1 O 0.0385 0.3388 0.6226